# HPdAu2 PBE relaxed
# energy: -3.4293 eV/atom
# polymorph energy (0 for the lowest one): 364 meV per atom
# density: 14.3 Mg/m³
data_HPdAu2
_cell_length_a 2.8410
_cell_length_b 2.8410
_cell_length_c 24.9006
_cell_angle_alpha 90.00
_cell_angle_beta 90.00
_cell_angle_gamma 120.00
_space_group_name_H-M_alt 'P 1'
_space_group_IT_number 1
loop_
_space_group_symop_operation_xyz
'x,y,z'
loop_
_atom_site_label
_atom_site_type_symbol
_atom_site_fract_x
_atom_site_fract_y
_atom_site_fract_z
H1 H 0.0000 0.0000 0.0000
H2 H 0.3333 0.6667 0.6667
H3 H 0.6667 0.3333 0.3333
Pd1 Pd 0.0000 0.0000 0.5000
Pd2 Pd 0.3333 0.6667 0.1667
Pd3 Pd 0.6667 0.3333 0.8333
Au1 Au 0.0000 0.0000 0.3911
Au2 Au 0.0000 0.0000 0.6089
Au3 Au 0.3333 0.6667 0.0577
Au4 Au 0.3333 0.6667 0.2756
Au5 Au 0.6667 0.3333 0.7244
Au6 Au 0.6667 0.3333 0.9423

# Ta6MoIr PBE relaxed
# energy: -11.6352 eV/atom
# formation energy from the elements: -0.284 eV per atom
# density: 16.5 Mg/m³
data_Ta6MoIr
_cell_length_a 4.5693
_cell_length_b 4.5693
_cell_length_c 13.2793
_cell_angle_alpha 90.00
_cell_angle_beta 90.00
_cell_angle_gamma 90.00
_space_group_name_H-M_alt 'P 1'
_space_group_IT_number 1
loop_
_space_group_symop_operation_xyz
'x,y,z'
loop_
_atom_site_label
_atom_site_type_symbol
_atom_site_fract_x
_atom_site_fract_y
_atom_site_fract_z
Ta1 Ta 0.0000 0.0000 0.2484
Ta2 Ta 0.0000 0.0000 0.7516
Ta3 Ta 0.0000 0.5000 0.1215
Ta4 Ta 0.0000 0.5000 0.3785
Ta5 Ta 0.0000 0.5000 0.6215
Ta6 Ta 0.0000 0.5000 0.8785
Ta7 Ta 0.5000 0.0000 0.1215
Ta8 Ta 0.5000 0.0000 0.3785
Ta9 Ta 0.5000 0.0000 0.6215
Ta10 Ta 0.5000 0.0000 0.8785
Ta11 Ta 0.5000 0.5000 0.2516
Ta12 Ta 0.5000 0.5000 0.7484
Mo1 Mo 0.0000 0.0000 0.0000
Mo2 Mo 0.5000 0.5000 0.5000
Ir1 Ir 0.0000 0.0000 0.5000
Ir2 Ir 0.5000 0.5000 0.0000

# Hf2ScCr PBE relaxed
# energy: -8.8263 eV/atom
# polymorph energy (0 for the lowest one): 0 meV per atom
# formation energy from the elements: 0.139 eV per atom
# density: 9.4 Mg/m³
data_Hf2ScCr
_cell_length_a 3.2409
_cell_length_b 3.2409
_cell_length_c 7.6455
_cell_angle_alpha 90.00
_cell_angle_beta 90.00
_cell_angle_gamma 90.00
_space_group_name_H-M_alt 'P 1'
_space_group_IT_number 1
loop_
_space_group_symop_operation_xyz
'x,y,z'
loop_
_atom_site_label
_atom_site_type_symbol
_atom_site_fract_x
_atom_site_fract_y
_atom_site_fract_z
Hf1 Hf 0.0000 0.0000 0.2022
Hf2 Hf 0.0000 0.0000 0.7978
Sc1 Sc 0.5000 0.5000 0.5000
Cr1 Cr 0.5000 0.5000 0.0000

# Th6SiAs4 PBE relaxed
# formation energy without anion corrections: -0.837 eV per atom
# energy: -7.0684 eV/atom
# density: 9.5 Mg/m³
data_Th6SiAs4
_cell_length_a 8.4370
_cell_length_b 8.4370
_cell_length_c 8.4370
_cell_angle_alpha 89.42
_cell_angle_beta 89.42
_cell_angle_gamma 89.42
_space_group_name_H-M_alt 'P 1'
_space_group_IT_number 1
loop_
_space_group_symop_operation_xyz
'x,y,z'
loop_
_atom_site_label
_atom_site_type_symbol
_atom_site_fract_x
_atom_site_fract_y
_atom_site_fract_z
Th1 Th 0.0542 0.9194 0.6862
Th2 Th 0.0806 0.3138 0.9458
Th3 Th 0.1862 0.4194 0.5542
Th4 Th 0.3138 0.9458 0.0806
Th5 Th 0.4194 0.5542 0.1862
Th6 Th 0.4458 0.8138 0.5806
Th7 Th 0.5542 0.1862 0.4194
Th8 Th 0.5806 0.4458 0.8138
Th9 Th 0.6862 0.0542 0.9194
Th10 Th 0.8138 0.5806 0.4458
Th11 Th 0.9194 0.6862 0.0542
Th12 Th 0.9458 0.0806 0.3138
Si1 Si 0.0000 0.0000 0.0000
Si2 Si 0.5000 0.5000 0.5000
As1 As 0.1384 0.7500 0.3616
As2 As 0.2500 0.2500 0.2500
As3 As 0.2500 0.6384 0.8616
As4 As 0.3616 0.1384 0.7500
As5 As 0.6384 0.8616 0.2500
As6 As 0.7500 0.3616 0.1384
As7 As 0.7500 0.7500 0.7500
As8 As 0.8616 0.2500 0.6384

# Pm4InAg2Au PBE relaxed
# energy: -4.3018 eV/atom
# formation energy from the elements: -0.462 eV per atom
# density: 8.7 Mg/m³
data_Pm4InAg2Au
_cell_length_a 9.1927
_cell_length_b 9.1927
_cell_length_c 9.1927
_cell_angle_alpha 33.53
_cell_angle_beta 33.53
_cell_angle_gamma 33.53
_space_group_name_H-M_alt 'P 1'
_space_group_IT_number 1
loop_
_space_group_symop_operation_xyz
'x,y,z'
loop_
_atom_site_label
_atom_site_type_symbol
_atom_site_fract_x
_atom_site_fract_y
_atom_site_fract_z
Pm1 Pm 0.1196 0.1196 0.1196
Pm2 Pm 0.3709 0.3709 0.3709
Pm3 Pm 0.6291 0.6291 0.6291
Pm4 Pm 0.8804 0.8804 0.8804
In1 In 0.5000 0.5000 0.5000
Ag1 Ag 0.2424 0.2424 0.2424
Ag2 Ag 0.7576 0.7576 0.7576
Au1 Au 0.0000 0.0000 0.0000

# Sb2Br PBE relaxed
# formation energy without anion corrections: 0.260 eV per atom
# energy: -3.0460 eV/atom
# polymorph energy (0 for the lowest one): 450 meV per atom
# density: 5.1 Mg/m³
data_Sb2Br
_cell_length_a 9.4872
_cell_length_b 9.4872
_cell_length_c 4.0792
_cell_angle_alpha 90.00
_cell_angle_beta 90.00
_cell_angle_gamma 120.00
_space_group_name_H-M_alt 'P 1'
_space_group_IT_number 1
loop_
_space_group_symop_operation_xyz
'x,y,z'
loop_
_atom_site_label
_atom_site_type_symbol
_atom_site_fract_x
_atom_site_fract_y
_atom_site_fract_z
Sb1 Sb 0.0000 0.3129 0.0000
Sb2 Sb 0.0000 0.5263 0.5000
Sb3 Sb 0.3129 0.0000 0.0000
Sb4 Sb 0.4737 0.4737 0.5000
Sb5 Sb 0.5263 0.0000 0.5000
Sb6 Sb 0.6871 0.6871 0.0000
Br1 Br 0.0000 0.0000 0.5000
Br2 Br 0.3333 0.6667 0.0000
Br3 Br 0.6667 0.3333 0.0000

# Tl2Ni PBE relaxed
# energy: -2.5091 eV/atom
# formation energy from the elements: 0.996 eV per atom
# density: 9.6 Mg/m³
data_Tl2Ni
_cell_length_a 6.1246
_cell_length_b 6.1246
_cell_length_c 6.1246
_cell_angle_alpha 60.00
_cell_angle_beta 60.00
_cell_angle_gamma 60.00
_space_group_name_H-M_alt 'P 1'
_space_group_IT_number 1
loop_
_space_group_symop_operation_xyz
'x,y,z'
loop_
_atom_site_label
_atom_site_type_symbol
_atom_site_fract_x
_atom_site_fract_y
_atom_site_fract_z
Tl1 Tl 0.0000 0.0000 0.0000
Tl2 Tl 0.0000 0.0000 0.5000
Tl3 Tl 0.0000 0.5000 0.0000
Tl4 Tl 0.5000 0.0000 0.0000
Ni1 Ni 0.3750 0.3750 0.3750
Ni2 Ni 0.6250 0.6250 0.6250

# ZrZn2Ru PBE relaxed
# energy: -5.2689 eV/atom
# formation energy from the elements: -0.176 eV per atom
# density: 8.2 Mg/m³
data_ZrZn2Ru
_cell_length_a 3.1271
_cell_length_b 3.9367
_cell_length_c 5.4824
_cell_angle_alpha 90.00
_cell_angle_beta 104.29
_cell_angle_gamma 90.00
_space_group_name_H-M_alt 'P 1'
_space_group_IT_number 1
loop_
_space_group_symop_operation_xyz
'x,y,z'
loop_
_atom_site_label
_atom_site_type_symbol
_atom_site_fract_x
_atom_site_fract_y
_atom_site_fract_z
Zr1 Zr 0.0000 0.0000 0.0000
Zn1 Zn 0.3256 0.0000 0.4984
Zn2 Zn 0.3905 0.5000 0.7526
Ru1 Ru 0.7124 0.5000 0.2817